# PmDy4Se7 PBE-GGA relaxed
# - DOS at the Fermi energy: 0.155 states/eV per atom
# - Energy relative to the elements, uncorrected: -22.289 eV per formula unit
data_PmDy4Se7
_cell_length_a 13.497
_cell_length_b 3.985
_cell_length_c 12.262
_cell_angle_alpha 90.00
_cell_angle_beta 104.30
_cell_angle_gamma 90.00
_space_group_name_H-M_alt 'C 1 m 1'
_space_group_IT_number 8
_space_group_name_Hall 'C -2y'
loop_
_atom_site_label
_atom_site_fract_x
_atom_site_fract_y
_atom_site_fract_z
Pm1 0.000 0.000 0.000
Dy1 0.114 0.000 0.423
Dy2 0.226 0.000 0.841
Dy3 0.314 0.500 0.236
Dy4 0.413 0.000 0.607
Se1 0.072 0.000 0.636
Se2 0.115 0.500 0.917
Se3 0.156 0.000 0.210
Se4 0.273 0.500 0.471
Se5 0.352 0.500 0.769
Se6 0.366 0.000 0.071
Se7 0.455 0.000 0.372



# B2Mo2Ru PBE-GGA relaxed
# - DOS at the Fermi energy: 0.377 states/eV per atom
# - Energy of formation: -377 meV/atom
data_B2Mo2Ru
_cell_length_a 5.889
_cell_length_b 5.889
_cell_length_c 6.461
_cell_angle_alpha 90.00
_cell_angle_beta 90.00
_cell_angle_gamma 90.00
_space_group_name_H-M_alt 'P 4/m n c'
_space_group_IT_number 128
_space_group_name_Hall '-P 4 2n'
loop_
_atom_site_label
_atom_site_fract_x
_atom_site_fract_y
_atom_site_fract_z
B1 0.112 0.388 0.250
Mo1 0.158 0.691 0.000
Ru1 0.000 0.000 0.288



# U2Pa2Te7 PBE-GGA relaxed
# - DOS at the Fermi energy: 2.011 states/eV per atom
# - Energy relative to the elements, uncorrected: -7.948 eV per formula unit
data_U2Pa2Te7
_cell_length_a 4.236
_cell_length_b 16.016
_cell_length_c 9.740
_cell_angle_alpha 90.00
_cell_angle_beta 90.00
_cell_angle_gamma 90.00
_space_group_name_H-M_alt 'I m m 2'
_space_group_IT_number 44
_space_group_name_Hall 'I 2 -2'
loop_
_atom_site_label
_atom_site_fract_x
_atom_site_fract_y
_atom_site_fract_z
U1 0.000 0.000 0.000
U2 0.000 0.500 0.057
Pa1 0.000 0.259 0.830
Te1 0.000 0.142 0.514
Te2 0.000 0.179 0.125
Te3 0.000 0.389 0.334
Te4 0.000 0.500 0.741



# Nd2DyNpSb4 PBE-GGA relaxed
# - DOS at the Fermi energy: 1.481 states/eV per atom
# - Energy relative to the elements, uncorrected: -7.336 eV per formula unit
data_Nd2DyNpSb4
_cell_length_a 7.719
_cell_length_b 4.456
_cell_length_c 7.725
_cell_angle_alpha 90.00
_cell_angle_beta 109.32
_cell_angle_gamma 90.00
_space_group_name_H-M_alt 'P 1 2/m 1'
_space_group_IT_number 10
_space_group_name_Hall '-P 2y'
loop_
_atom_site_label
_atom_site_fract_x
_atom_site_fract_y
_atom_site_fract_z
Nd1 0.000 0.000 0.000
Nd2 0.500 0.500 0.000
Dy1 0.000 0.500 0.500
Np1 0.500 0.000 0.500
Sb1 0.247 0.000 0.740
Sb2 0.253 0.500 0.259